This record from the Alexandria database describes an optimized crystal structure of SrCa2HIr. The functional is PBE.

Lattice parameters (Å, degrees): 5.8810 5.8810 3.8104 90.00 90.00 90.00
Closest atoms and distances in Å follow each position.
Space group P4/mmm (No. 123)
Asymmetric unit:
Sr (0.0000, 0.0000, 0.0000)  2 H 1.91
Ca (0.0000, 0.5000, 0.0000)  2 Sr 2.94
H (0.0000, 0.0000, 0.5000)  2 Sr 1.91
Ir (0.5000, 0.5000, 0.5000)  8 Ca 3.50, 2 Ir 3.81

Calculated values
Uncorrected energy ... -2.595 eV per atom
Magnetization ... 0.00 μB/cell